Record 1
Computed, not measured: an optimized crystal structure of Tb6Sb5Br at the PBE level of DFT.

Unit cell a=7.5972 b=13.1593 c=7.5821 alpha=90.00 beta=109.37 gamma=90.00
With the nearest neighbours (Å) after each atom.
Space group C2/m (No. 12)
One atom of each set of equivalent atoms:
1 Tb 0.2399 0.0000 0.2541 x4  5 Sb 3.01-3.09, 1 Br 3.18
2 Tb 0.2412 0.1727 0.7427 x8  5 Sb 3.04-3.11, 1 Br 3.21
3 Sb 0.0000 0.0000 0.5000 x2  6 Tb 3.01-3.11
4 Sb 0.0000 0.1677 0.0000 x4  6 Tb 3.09
5 Sb 0.0000 0.3378 0.5000 x4  6 Tb 3.04-3.11
6 Br 0.0000 0.5000 0.0000 x2  6 Tb 3.18-3.21

- DOS at the Fermi energy: 2.575 states/eV/f.u.
- Formation energy (no corrections): -14.001 eV per formula unit

Record 2
Computed, not measured: an optimized crystal structure of NdTmI6 at the PBE level of DFT.

Unit cell a=7.6844 b=7.6844 c=20.8256 alpha=90.00 beta=90.00 gamma=120.00
With the nearest neighbours (Å) after each atom.
Space group R-3 (No. 148, hexagonal axes)
One atom of each set of equivalent atoms:
1 Nd 0.0000 0.0000 0.0000 x3  6 I 3.14
2 Tm 0.0000 0.0000 0.5000 x3  6 I 3.01
3 I 0.0017 0.6777 0.5817 x18  1 Tm 3.01, 1 Nd 3.14

- DOS at the Fermi energy: 0.000 states/eV/f.u.
- Formation energy (no corrections): -10.608 eV per formula unit

Record 3
Computed, not measured: an optimized crystal structure of BaZrSb2 at the PBE level of DFT.

Unit cell a=4.3188 b=4.3188 c=7.8183 alpha=90.00 beta=90.00 gamma=90.00
With the nearest neighbours (Å) after each atom.
Space group P4mm (No. 99)
One atom of each set of equivalent atoms:
1 Ba 0.0000 0.0000 0.0000 x1  5 Sb 3.30-3.61
2 Zr 0.5000 0.5000 0.5035 x1  1 Sb 2.68
3 Sb 0.0000 0.0000 0.5387 x1  4 Zr 3.07
4 Sb 0.5000 0.5000 0.1607 x1  1 Zr 2.68

- DOS at the Fermi energy: 1.131 states/eV/f.u.
- Relative energy among the computed polymorphs: 314 meV/atom
- Formation energy (no corrections): -1.921 eV per formula unit

Record 4
Computed, not measured: an optimized crystal structure of Ac2Sn5Au3 at the PBE level of DFT.

Unit cell a=11.0700 b=14.0461 c=6.9880 alpha=90.00 beta=90.00 gamma=90.00
With the nearest neighbours (Å) after each atom.
Space group Ibam (No. 72)
One atom of each set of equivalent atoms:
1 Ac 0.2390 0.1206 0.0000 x8  10 Sn 3.58-3.95, 6 Au 3.59-3.81
2 Sn 0.0000 0.2606 0.2500 x8  2 Au 2.82, 2 Sn 3.00
3 Sn 0.0000 0.5000 0.2500 x4  4 Au 2.85
4 Sn 0.1268 0.1186 0.5000 x8  3 Au 2.67-2.79
5 Au 0.0000 0.0000 0.2500 x4  4 Sn 2.79
6 Au 0.1324 0.3782 0.0000 x8  5 Sn 2.67-2.85

- DOS at the Fermi energy: 4.670 states/eV/f.u.
- DFT formation energy: -534 meV per atom

Record 5
Computed, not measured: an optimized crystal structure of CaNdAlHg at the PBE level of DFT.

Unit cell a=7.5622 b=7.5622 c=7.5622 alpha=90.00 beta=90.00 gamma=90.00
With the nearest neighbours (Å) after each atom.
Space group F-43m (No. 216)
One atom of each set of equivalent atoms:
1 Ca 0.0000 0.0000 0.0000 x4  4 Hg 3.27, 4 Al 3.27
2 Nd 0.0000 0.0000 0.5000 x4  4 Hg 3.27, 4 Al 3.27
3 Al 0.2500 0.2500 0.7500 x4  4 Nd 3.27, 4 Ca 3.27
4 Hg 0.2500 0.2500 0.2500 x4  4 Nd 3.27, 4 Ca 3.27

- DOS at the Fermi energy: 2.112 states/eV/f.u.
- Relative energy among the computed polymorphs: 4 meV/atom
- DFT formation energy: -400 meV per atom

Record 6
Computed, not measured: an optimized crystal structure of MgCdCu2 at the PBE level of DFT.

Unit cell a=7.2030 b=7.2030 c=5.4250 alpha=90.00 beta=90.00 gamma=90.00
With the nearest neighbours (Å) after each atom.
Space group I-42d (No. 122)
One atom of each set of equivalent atoms:
1 Mg 0.0000 0.0000 0.0000 x4  4 Cu 2.63, 2 Cd 2.71
2 Cd 0.0000 0.0000 0.5000 x4  4 Cu 2.64, 2 Mg 2.71
3 Cu 0.2493 0.2500 0.1250 x8  2 Mg 2.63, 2 Cd 2.64, 2 Cu 2.71

- DOS at the Fermi energy: 1.160 states/eV/f.u.
- DFT formation energy: 254 meV per atom

Record 7
Computed, not measured: an optimized crystal structure of Pr6Nd2Er3 at the PBE level of DFT.

Unit cell a=5.1503 b=6.3384 c=13.1593 alpha=76.17 beta=78.85 gamma=66.03
With the nearest neighbours (Å) after each atom.
Space group P-1 (No. 2)
One atom of each set of equivalent atoms:
1 Pr 0.0441 0.2294 0.1834 x2  3 Nd 3.62-3.71, 3 Er 3.65-3.66, 6 Pr 3.65-3.68
2 Pr 0.2265 0.1372 0.9092 x2  3 Er 3.65-3.67, 7 Pr 3.65-3.69, 2 Nd 3.67-3.68
3 Pr 0.4082 0.0514 0.6330 x2  4 Pr 3.59-3.69, 5 Er 3.60-3.66, 3 Nd 3.65-3.67
4 Nd 0.3194 0.5854 0.2752 x2  4 Er 3.61-3.67, 8 Pr 3.62-3.71
5 Er 0.1370 0.6820 0.5440 x2  6 Pr 3.60-3.66, 3 Nd 3.61-3.63, 3 Er 3.64-3.66
6 Er 0.5000 0.5000 0.0000 x1  10 Pr 3.65-3.67, 2 Nd 3.67

- DOS at the Fermi energy: 16.108 states/eV/f.u.
- Relative energy among the computed polymorphs: 0 meV/atom
- DFT formation energy: 17 meV per atom

Record 8
Computed, not measured: an optimized crystal structure of TaCrP2 at the PBE level of DFT.

Unit cell a=4.3822 b=3.1961 c=8.4662 alpha=90.00 beta=90.00 gamma=90.00
With the nearest neighbours (Å) after each atom.
Space group Amm2 (No. 38)
One atom of each set of equivalent atoms:
1 Ta 0.0000 0.0000 0.0000 x2  3 P 2.41-2.42
2 Cr 0.5000 0.0000 0.7261 x2  4 P 2.19-2.37
3 P 0.0000 0.0000 0.7137 x2  2 Cr 2.19, 3 Ta 2.41-2.42
4 P 0.5000 0.0000 0.4333 x2  3 Cr 2.37-2.48

- DOS at the Fermi energy: 2.411 states/eV/f.u.
- Relative energy among the computed polymorphs: 314 meV/atom
- DFT formation energy: -330 meV per atom

Record 9
Computed, not measured: an optimized crystal structure of Cs2ZrCo at the PBE level of DFT.

Unit cell a=14.2006 b=14.2006 c=4.5390 alpha=90.00 beta=90.00 gamma=90.00
With the nearest neighbours (Å) after each atom.
Space group I-42d (No. 122)
One atom of each set of equivalent atoms:
1 Cs 0.0803 0.2500 0.1250 x8  2 Co 3.77, 2 Zr 4.10
2 Zr 0.0000 0.0000 0.5000 x4  2 Co 2.27
3 Co 0.0000 0.0000 0.0000 x4  2 Zr 2.27

- DOS at the Fermi energy: 4.369 states/eV/f.u.
- Relative energy among the computed polymorphs: 0 meV/atom
- DFT formation energy: 1007 meV per atom

Record 10
Computed, not measured: an optimized crystal structure of BeNb2ZnF at the PBE level of DFT.

Unit cell a=4.4984 b=4.4984 c=3.9728 alpha=90.00 beta=90.00 gamma=90.00
With the nearest neighbours (Å) after each atom.
Space group P4/mmm (No. 123)
One atom of each set of equivalent atoms:
1 Be 0.0000 0.0000 0.0000 x1  2 Zn 1.99
2 Nb 0.0000 0.5000 0.0000 x2  2 Be 2.25
3 Zn 0.0000 0.0000 0.5000 x1  2 Be 1.99
4 F 0.5000 0.5000 0.5000 x1  8 Nb 3.00, 4 Zn 3.18

- DOS at the Fermi energy: 5.784 states/eV/f.u.
- Formation energy (no corrections): 2.381 eV per formula unit

Record 11
Computed, not measured: an optimized crystal structure of MgCd5Hg4 at the PBE level of DFT.

Unit cell a=16.8213 b=4.4372 c=6.3414 alpha=90.00 beta=102.28 gamma=90.00
With the nearest neighbours (Å) after each atom.
Space group C2/m (No. 12)
One atom of each set of equivalent atoms:
1 Mg 0.0000 0.0000 0.0000 x2  6 Hg 3.06-3.22, 6 Cd 3.17-3.26
2 Cd 0.0000 0.0000 0.5000 x2  4 Hg 3.12, 2 Mg 3.17, 6 Cd 3.19-3.30
3 Cd 0.1048 0.5000 0.7990 x4  6 Hg 3.12-3.28, 4 Cd 3.16-3.19, 2 Mg 3.26
4 Cd 0.2007 0.0000 0.5988 x4  7 Hg 3.12-3.47, 5 Cd 3.16-3.30
5 Hg 0.0883 0.5000 0.2912 x4  2 Mg 3.06, 7 Cd 3.12-3.28, 2 Hg 3.24
6 Hg 0.1960 0.0000 0.1043 x4  7 Cd 3.12-3.28, 1 Mg 3.22, 4 Hg 3.24-3.32

- DOS at the Fermi energy: 3.226 states/eV/f.u.
- Relative energy among the computed polymorphs: 0 meV/atom
- DFT formation energy: -18 meV per atom

Record 12
Computed, not measured: an optimized crystal structure of TbY2Rh4 at the PBE level of DFT.

Unit cell a=4.6854 b=4.6854 c=6.7050 alpha=90.00 beta=90.00 gamma=90.00
With the nearest neighbours (Å) after each atom.
Space group P4/mmm (No. 123)
One atom of each set of equivalent atoms:
1 Tb 0.0000 0.0000 0.0000 x1  8 Rh 2.90
2 Y 0.0000 0.0000 0.5000 x1  8 Rh 2.86
3 Y 0.5000 0.5000 0.0000 x1  8 Rh 2.90
4 Rh 0.0000 0.5000 0.2547 x4  4 Y 2.86-2.90, 2 Tb 2.90

- DOS at the Fermi energy: 5.134 states/eV/f.u.
- DFT formation energy: -434 meV per atom